Material: LiFeRh2C
Method: DFT, PBE
State: optimized geometry

VASP energy = -6.8812 eV per atom
E_form = -0.02 eV per atom
size of the total moment = 2.88 μB/f.u.

Unit cell a=4.046 b=4.046 c=3.820 alpha=90.00 beta=90.00 gamma=90.00
Last column: magnetic moment on the atom in μB.
Element x y z (fractional)
1 Fe 0.000 0.000 0.500  2.39
2 Rh 0.000 0.500 0.000  0.31
3 Rh 0.500 0.000 0.000  0.31
4 C 0.000 0.000 0.000  -0.08
5 Li 0.500 0.500 0.500  -0.02